1.
Compound: Sm2Dy3Cd3
Source: Alexandria via LeMat-Bulk
Functional: PBE-GGA
Structure: relaxed

Calculated values
crystal system: orthorhombic
formation energy from the elements: -0.231 eV per atom

Cell: 3.7692 5.3515 11.6461 Å, 103.28 99.31 90.00°
Element x y z (fractional)
Cd  0.0000  0.5000  0.0000
Dy  0.6212  0.6212  0.2423
Dy  0.3788  0.3788  0.7577
Sm  0.7326  0.2326  0.4652
Cd  0.8853  0.8853  0.7707
Dy  0.5000  0.0000  0.0000
Cd  0.1147  0.1147  0.2293
Sm  0.2674  0.7674  0.5348

***

2.
Compound: Cd2Cu2PPt4
Source: Alexandria via LeMat-Bulk
Functional: PBE-GGA
Structure: relaxed

Calculated values
crystal system: tetragonal
formation energy from the elements: -0.238 eV per atom

Cell: 5.8842 5.8842 5.8842 Å, 92.96 118.31 118.31°
Element x y z (fractional)
Cu  0.0000  0.2780  0.2780
Pt  0.0000  0.2659  0.7341
Cd  0.5000  0.7500  0.2500
Pt  0.4681  0.7341  0.7341
P  0.0000  0.0000  0.0000
Pt  0.5319  0.2659  0.2659
Pt  0.0000  0.7341  0.2659
Cu  0.0000  0.7220  0.7220
Cd  0.5000  0.2500  0.7500

***

3.
Compound: Ti6Pd5Au
Source: Alexandria via LeMat-Bulk
Functional: PBE-GGA
Structure: relaxed

Calculated values
crystal system: orthorhombic
formation energy from the elements: -0.500 eV per atom

Cell: 4.0044 7.8720 7.4670 Å, 121.81 105.55 90.00°
Each line ends with the local moment (μB).
Element x y z (fractional)
Ti  0.5000  0.2557  0.0000  0.20
Ti  0.1675  0.4206  0.3351  0.20
Ti  0.8325  0.5794  0.6649  0.20
Ti  0.5000  0.7443  0.0000  0.20
Au  0.0000  0.0000  0.0000  0.01
Ti  0.1675  0.9145  0.3351  0.20
Pd  0.6669  0.1669  0.3338  0.00
Pd  0.6675  0.6675  0.3349  0.00
Pd  0.0000  0.5000  0.0000  0.01
Pd  0.3331  0.8331  0.6662  0.00
Pd  0.3325  0.3325  0.6651  0.00
Ti  0.8325  0.0855  0.6649  0.20

***

4.
Compound: SrTaAg
Source: Alexandria via LeMat-Bulk
Functional: PBE-GGA
Structure: relaxed

Calculated values
crystal system: cubic
formation energy from the elements: 1.436 eV per atom

Cell: 4.8181 4.8181 4.8181 Å, 60.00 60.00 60.00°
Element x y z (fractional)
Ag  0.7500  0.7500  0.7500
Ta  0.5000  0.5000  0.5000
Sr  0.2500  0.2500  0.2500

***

5.
Compound: BeAlPt
Source: Alexandria via LeMat-Bulk
Functional: PBE-GGA
Structure: relaxed

Calculated values
crystal system: orthorhombic
formation energy from the elements: -0.668 eV per atom

Cell: 5.9201 7.1252 7.1252 Å, 67.02 65.45 65.45°
Element x y z (fractional)
Be  0.0279  0.6357  0.5868
Be  0.0279  0.0868  0.1357
Al  0.6406  0.0576  0.5576
Al  0.8187  0.2533  0.7533
Pt  0.9258  0.3184  0.3426
Be  0.2504  0.9132  0.8643
Pt  0.2215  0.2819  0.7819
Pt  0.5868  0.6816  0.6574
Pt  0.5868  0.1574  0.1816
Pt  0.2853  0.7181  0.2181
Al  0.8254  0.7467  0.2467
Al  0.7488  0.5113  0.0113
Be  0.4874  0.0000  0.0000
Al  0.2558  0.9424  0.4424
Pt  0.9258  0.8426  0.8184
Be  0.2504  0.3643  0.4132
Al  0.2714  0.4887  0.9887
Be  0.4874  0.5000  0.5000

***

6.
Compound: K3TcH7
Source: Alexandria via LeMat-Bulk
Functional: PBE-GGA
Structure: relaxed

Calculated values
crystal system: orthorhombic

Cell: 6.1242 6.1242 6.0596 Å, 58.10 58.10 87.35°
Each line ends with the local moment (μB).
Element x y z (fractional)
K  0.4490  0.4490  0.0566  0.00
H  0.7652  0.7652  0.0187  -0.01
H  0.7126  0.1059  0.1352  -0.01
H  0.0228  0.2517  0.6807  -0.01
H  0.1695  0.1695  0.0210  -0.01
K  0.7124  0.2121  0.5302  0.00
K  0.2121  0.7124  0.5302  0.00
Tc  0.9672  0.9672  0.0202  0.90
H  0.1059  0.7126  0.1352  -0.01
H  0.7567  0.7567  0.4411  -0.01
H  0.2517  0.0228  0.6807  -0.01

***

no.,total DFT energy (no corrections) (eV for the cell shown),total magnetization (μB per atom)
1,-27.84,0.000
2,-41.74,0.000
3,-82.61,0.119
4,-12.08,0.000
5,-93.08,0.000
6,-39.01,0.091